1.
DFT (PBE-GGA) results for HfGa6Co6 after structural relaxation.

Cell lengths 6.3835, 6.3835, 6.3835 Å; angles 133.92, 101.81, 95.84 degrees
Sites, in units of the cell vectors:
Hf (0.0000, 0.0000, 0.0000)
Ga (0.1787, 0.6787, 0.5000)
Ga (0.3386, 0.0000, 0.3386)
Ga (0.3418, 0.3418, 0.0000)
Ga (0.6582, 0.6582, 0.0000)
Ga (0.6614, 0.0000, 0.6614)
Ga (0.8213, 0.3213, 0.5000)
Co (0.0000, 0.0000, 0.5000)
Co (0.0000, 0.5000, 0.0000)
Co (0.2379, 0.5000, 0.7379)
Co (0.5000, 0.0000, 0.0000)
Co (0.5000, 0.5000, 0.5000)
Co (0.7621, 0.5000, 0.2621)

Calculated values
Density of states at the Fermi level = 16.25 states/eV/cell
SG = No. 71
ΔE_f = -0.30 eV/atom


2.
DFT (PBE-GGA) results for Pr3MgCd2 after structural relaxation.

Cell lengths 3.8985, 3.8985, 11.6436 Å; angles 90.00, 90.00, 90.00 degrees
Sites, in units of the cell vectors:
Pr (0.0000, 0.0000, 0.0000)
Pr (0.0000, 0.0000, 0.3326)
Pr (0.0000, 0.0000, 0.6674)
Mg (0.5000, 0.5000, 0.5000)
Cd (0.5000, 0.5000, 0.1695)
Cd (0.5000, 0.5000, 0.8305)

Calculated values
Density of states at the Fermi level = 7.79 states/eV/cell
ΔE to the lowest computed polymorph = 6 meV per atom
SG = No. 123
ΔE_f = -0.25 eV/atom


Copy entry 2 word for word.
DFT (PBE-GGA) results for Pr3MgCd2 after structural relaxation.

Cell lengths 3.8985, 3.8985, 11.6436 Å; angles 90.00, 90.00, 90.00 degrees
Sites, in units of the cell vectors:
Pr (0.0000, 0.0000, 0.0000)
Pr (0.0000, 0.0000, 0.3326)
Pr (0.0000, 0.0000, 0.6674)
Mg (0.5000, 0.5000, 0.5000)
Cd (0.5000, 0.5000, 0.1695)
Cd (0.5000, 0.5000, 0.8305)

Calculated values
Density of states at the Fermi level = 7.79 states/eV/cell
ΔE to the lowest computed polymorph = 6 meV per atom
SG = No. 123
ΔE_f = -0.25 eV/atom